[1]
Entry from Alexandria: an optimized crystal structure of SmP2Pt8 (PBE).

The total magnetic moment is 0.00 μB/f.u. For the formation enthalpy at 0 K, the calculation gives -0.290 eV/atom. As for the density of states at the Fermi level: 0.451 states/eV/atom.

It has space group I4/mmm (No. 139), with a = 5.455 Å, b = 5.455 Å, c = 14.957 Å, α = 90.00°, β = 90.00° and γ = 90.00°. The asymmetric unit holds Sm at (0.000, 0.000, 0.000), P at (0.000, 0.500, 0.250) and Pt at (0.247, 0.247, 0.349).

[2]
Entry from Alexandria: an optimized crystal structure of Sm2PPt6 (PBE).

The total magnetic moment is 0.00 μB/f.u. For the formation enthalpy at 0 K, the calculation gives -0.952 eV/atom. As for the density of states at the Fermi level: 0.431 states/eV/atom.

It has space group C2/m (No. 12), with a = 9.812 Å, b = 5.687 Å, c = 6.067 Å, α = 90.00°, β = 103.63° and γ = 90.00°. The asymmetric unit holds Sm at (0.141, 0.000, 0.349), P at (0.000, 0.500, 0.500), Pt at (0.124, 0.500, 0.208) and Pt at (0.134, 0.247, 0.806).

[3]
Entry from Alexandria: an optimized crystal structure of Sm2P2Pt3 (PBE).

The total magnetic moment is 0.00 μB/f.u. For the formation enthalpy at 0 K, the calculation gives -1.051 eV/atom. As for the density of states at the Fermi level: 0.377 states/eV/atom.

It has space group C2/m (No. 12), with a = 10.160 Å, b = 3.989 Å, c = 7.090 Å, α = 90.00°, β = 116.19° and γ = 90.00°. The asymmetric unit holds Sm at (0.133, 0.000, 0.270), P at (0.153, 0.000, 0.709), Pt at (0.000, 0.500, 0.500) and Pt at (0.126, 0.500, 0.941).

[4]
Entry from Alexandria: an optimized crystal structure of Sm2PPt (PBE).

The total magnetic moment is 0.00 μB/f.u. For the formation enthalpy at 0 K, the calculation gives -1.223 eV/atom. As for the density of states at the Fermi level: 0.704 states/eV/atom. As for the energy above the most stable polymorph in this dataset: 0.098 eV per atom.

It has space group R-3m (No. 166, hexagonal axes), with a = 4.0801 Å, b = 4.0801 Å, c = 20.8366 Å, α = 90.00°, β = 90.00° and γ = 120.00°. The asymmetric unit holds Sm at (0.0000, 0.0000, 0.2475), P at (0.0000, 0.0000, 0.5000) and Pt at (0.0000, 0.0000, 0.0000).

[5]
Entry from Alexandria: an optimized crystal structure of Sm2PPt (PBE).

The total magnetic moment is 0.00 μB/f.u. For the formation enthalpy at 0 K, the calculation gives -1.321 eV/atom. As for the density of states at the Fermi level: 0.663 states/eV/atom. As for the energy above the most stable polymorph in this dataset: 0.000 eV per atom.

It has space group Cmcm (No. 63), with a = 4.019 Å, b = 23.349 Å, c = 4.147 Å, α = 90.00°, β = 90.00° and γ = 90.00°. The asymmetric unit holds Sm at (0.000, 0.069, 0.250), Sm at (0.000, 0.312, 0.250), P at (0.000, 0.189, 0.250) and Pt at (0.000, 0.458, 0.250).

[6]
Entry from Alexandria: an optimized crystal structure of Sm2P3Pt4 (PBE).

The total magnetic moment is 0.00 μB/f.u. For the formation enthalpy at 0 K, the calculation gives -1.108 eV/atom. As for the density of states at the Fermi level: 0.440 states/eV/atom.

It has space group I-4m2 (No. 119), with a = 4.168 Å, b = 4.168 Å, c = 19.010 Å, α = 90.00°, β = 90.00° and γ = 90.00°. The asymmetric unit holds Sm at (0.000, 0.000, 0.127), P at (0.000, 0.000, 0.426), P at (0.000, 0.500, 0.750), Pt at (0.000, 0.000, 0.303) and Pt at (0.000, 0.500, 0.501).

[7]
Entry from Alexandria: an optimized crystal structure of Sm3P4Pt4 (PBE).

The total magnetic moment is 0.00 μB/f.u. For the formation enthalpy at 0 K, the calculation gives -1.157 eV/atom. As for the density of states at the Fermi level: 0.327 states/eV/atom.

It has space group P-1 (No. 2), with a = 4.107 Å, b = 4.129 Å, c = 12.532 Å, α = 80.56°, β = 80.57° and γ = 89.98°. The asymmetric unit holds Sm at (0.000, 0.000, 0.000), Sm at (0.352, 0.850, 0.296), P at (0.190, 0.692, 0.621), P at (0.453, 0.440, 0.095), Pt at (0.093, 0.591, 0.813) and Pt at (0.257, 0.260, 0.485).

[8]
Entry from Alexandria: an optimized crystal structure of Sm2PPt5 (PBE).

The total magnetic moment is 0.00 μB/f.u. For the formation enthalpy at 0 K, the calculation gives -0.924 eV/atom. As for the density of states at the Fermi level: 0.418 states/eV/atom.

It has space group I4mm (No. 107), with a = 5.845 Å, b = 5.845 Å, c = 8.927 Å, α = 90.00°, β = 90.00° and γ = 90.00°. The asymmetric unit holds Sm at (0.000, 0.500, 0.000), P at (0.000, 0.000, 0.147), Pt at (0.000, 0.000, 0.507) and Pt at (0.240, 0.240, 0.756).

- What is the total magnetic moment in the first record?
  0.00 μB/f.u.